This record from Alexandria via LeMat-Bulk describes an optimized crystal structure of VPO5. The functional is PBE with a Hubbard U.

## Properties
DOS at the Fermi energy, states/eV per atom: 0.000
ΔE to the lowest computed polymorph, meV/atom: 4.6
Magnetic moment, Bohr magnetons per cell: 0.00
E_tot, eV for the cell shown: -103.26

Unit cell a=6.1142 b=6.1142 c=4.7849 alpha=90.00 beta=90.00 gamma=90.00
Closest atoms and distances in Å follow each position.
Space group P4/n (No. 85, origin choice 2)
One atom of each set of equivalent atoms:
V (0.2500, 0.2500, 0.2273) [2 per cell]  1 O 1.61
P (0.2500, 0.7500, 0.5000) [2 per cell]  4 O 1.54
O (0.0503, 0.7927, 0.6885) [8 per cell]  1 P 1.54
O (0.2500, 0.2500, 0.8919) [2 per cell]  1 V 1.61